1.
Compound: Ni7Ir2Pt
Source: Alexandria
Functional: PBE
Structure: optimized geometry

The structure in CIF format:
```
data_Ni7Ir2Pt
_chemical_formula_sum 'Ni14 Ir4 Pt2'
_space_group_name_H-M_alt 'C m m m'
_space_group_IT_number 65
_space_group_name_Hall '-C 2 2'
_cell_length_a 6.447
_cell_length_b 12.444
_cell_length_c 3.835
_cell_angle_alpha 90.00
_cell_angle_beta 90.00
_cell_angle_gamma 90.00
loop_
_atom_site_label
_atom_site_type_symbol
_atom_site_fract_x
_atom_site_fract_y
_atom_site_fract_z
Ni1 Ni 0.000 0.000 0.000
Ni2 Ni 0.000 0.304 0.500
Ni3 Ni 0.184 0.397 0.000
Ir1 Ir 0.000 0.199 0.000
Pt1 Pt 0.000 0.500 0.500
```

Values from the calculation:
The value obtained for the total magnetization is 0.582 μB per atom. The value obtained for the formation energy is 0.59 eV per atom.

2.
Compound: Al2TcNi
Source: Alexandria
Functional: PBE
Structure: optimized geometry

The structure in CIF format:
```
data_Al2TcNi
_chemical_formula_sum 'Al2 Tc1 Ni1'
_space_group_name_H-M_alt 'P m m m'
_space_group_IT_number 47
_cell_length_a 2.895
_cell_length_b 3.112
_cell_length_c 5.879
_cell_angle_alpha 90.00
_cell_angle_beta 90.00
_cell_angle_gamma 90.00
loop_
_space_group_symop_operation_xyz
'x,y,z'
'-x,-y,-z'
'-x,-y,z'
'x,y,-z'
'x,-y,-z'
'-x,y,z'
'-x,y,-z'
'x,-y,z'
loop_
_atom_site_label
_atom_site_type_symbol
_atom_site_fract_x
_atom_site_fract_y
_atom_site_fract_z
Al1 Al 0.000 0.000 0.241
Tc1 Tc 0.500 0.500 0.500
Ni1 Ni 0.500 0.500 0.000
```

Values from the calculation:
The value obtained for the total magnetization is 0.000 μB per atom. The value obtained for the formation energy is -0.47 eV per atom.

3.
Compound: TlAu
Source: Alexandria
Functional: PBE
Structure: optimized geometry

The structure in CIF format:
```
data_TlAu
_chemical_formula_sum 'Tl2 Au2'
_space_group_name_H-M_alt 'P -1'
_space_group_IT_number 2
_cell_length_a 4.258
_cell_length_b 4.519
_cell_length_c 6.309
_cell_angle_alpha 104.27
_cell_angle_beta 98.72
_cell_angle_gamma 111.82
loop_
_space_group_symop_operation_xyz
'x,y,z'
'-x,-y,-z'
loop_
_atom_site_label
_atom_site_type_symbol
_atom_site_fract_x
_atom_site_fract_y
_atom_site_fract_z
Tl1 Tl 0.112 0.218 0.322
Au1 Au 0.362 0.728 0.085
```

Values from the calculation:
The value obtained for the total magnetization is 0.000 μB per atom. The value obtained for the formation energy is 0.00 eV per atom.

4.
Compound: NdEuCu
Source: Alexandria
Functional: PBE
Structure: optimized geometry

The structure in CIF format:
```
data_NdEuCu
_chemical_formula_sum 'Nd2 Eu2 Cu2'
_space_group_name_H-M_alt 'I 4 m m'
_space_group_IT_number 107
_space_group_name_Hall 'I 4 -2'
_cell_length_a 3.653
_cell_length_b 3.653
_cell_length_c 12.938
_cell_angle_alpha 90.00
_cell_angle_beta 90.00
_cell_angle_gamma 90.00
loop_
_atom_site_label
_atom_site_type_symbol
_atom_site_fract_x
_atom_site_fract_y
_atom_site_fract_z
Nd1 Nd 0.000 0.000 0.000
Eu1 Eu 0.000 0.000 0.732
Cu1 Cu 0.000 0.000 0.378
```

Values from the calculation:
The value obtained for the total magnetization is 2.470 μB per atom. The value obtained for the formation energy is -0.05 eV per atom.

5.
Compound: Zn4FeRh5
Source: Alexandria
Functional: PBE
Structure: optimized geometry

The structure in CIF format:
```
data_Zn4FeRh5
_chemical_formula_sum 'Zn4 Fe1 Rh5'
_space_group_name_H-M_alt 'P 4/m m m'
_space_group_IT_number 123
_space_group_name_Hall '-P 4 2'
_cell_length_a 3.031
_cell_length_b 3.031
_cell_length_c 14.990
_cell_angle_alpha 90.00
_cell_angle_beta 90.00
_cell_angle_gamma 90.00
loop_
_atom_site_label
_atom_site_type_symbol
_atom_site_fract_x
_atom_site_fract_y
_atom_site_fract_z
Zn1 Zn 0.000 0.000 0.100
Zn2 Zn 0.000 0.000 0.300
Fe1 Fe 0.000 0.000 0.500
Rh1 Rh 0.500 0.500 0.000
Rh2 Rh 0.500 0.500 0.201
Rh3 Rh 0.500 0.500 0.403
```

Values from the calculation:
The value obtained for the total magnetization is 0.459 μB per atom. The value obtained for the formation energy is -0.33 eV per atom.

6.
Compound: LiMnS2N
Source: Alexandria
Functional: PBE
Structure: optimized geometry

The structure in CIF format:
```
data_LiMnS2N
_chemical_formula_sum 'Li1 Mn1 S2 N1'
_space_group_name_H-M_alt 'P 4/m m m'
_space_group_IT_number 123
_space_group_name_Hall '-P 4 2'
_cell_length_a 4.741
_cell_length_b 4.741
_cell_length_c 3.472
_cell_angle_alpha 90.00
_cell_angle_beta 90.00
_cell_angle_gamma 90.00
loop_
_atom_site_label
_atom_site_type_symbol
_atom_site_fract_x
_atom_site_fract_y
_atom_site_fract_z
Li1 Li 0.000 0.000 0.000
Mn1 Mn 0.500 0.500 0.500
S1 S 0.000 0.500 0.500
N1 N 0.500 0.500 0.000
```

Values from the calculation:
Its raw formation energy is -77 meV/atom. The value obtained for the total magnetization is 0.240 μB per atom.

7.
Compound: Hf2NiAs3
Source: Alexandria
Functional: PBE
Structure: optimized geometry

The structure in CIF format:
```
data_Hf2NiAs3
_chemical_formula_sum 'Hf8 Ni4 As12'
_space_group_name_H-M_alt 'P n m a'
_space_group_IT_number 62
_cell_length_a 10.032
_cell_length_b 3.709
_cell_length_c 11.966
_cell_angle_alpha 90.00
_cell_angle_beta 90.00
_cell_angle_gamma 90.00
loop_
_space_group_symop_operation_xyz
'x,y,z'
'-x,-y,-z'
'-x+1/2,-y,z+1/2'
'x+1/2,y,-z+1/2'
'x+1/2,-y+1/2,-z+1/2'
'-x+1/2,y+1/2,z+1/2'
'-x,y+1/2,-z'
'x,-y+1/2,z'
loop_
_atom_site_label
_atom_site_type_symbol
_atom_site_fract_x
_atom_site_fract_y
_atom_site_fract_z
Hf1 Hf 0.044 0.250 0.248
Hf2 Hf 0.213 0.750 0.514
Ni1 Ni 0.226 0.250 0.736
As1 As 0.041 0.250 0.601
As2 As 0.105 0.750 0.096
As3 As 0.204 0.750 0.852
```

Values from the calculation:
The value obtained for the total magnetization is 0.000 μB per atom. The value obtained for the formation energy is -0.68 eV per atom.

8.
Compound: InBN3
Source: Alexandria
Functional: PBE
Structure: optimized geometry

The structure in CIF format:
```
data_InBN3
_chemical_formula_sum 'In1 B1 N3'
_space_group_name_H-M_alt 'P m -3 m'
_space_group_IT_number 221
_space_group_name_Hall '-P 4 2 3'
_cell_length_a 3.501
_cell_length_b 3.501
_cell_length_c 3.501
_cell_angle_alpha 90.00
_cell_angle_beta 90.00
_cell_angle_gamma 90.00
loop_
_atom_site_label
_atom_site_type_symbol
_atom_site_fract_x
_atom_site_fract_y
_atom_site_fract_z
In1 In 0.000 0.000 0.000
B1 B 0.500 0.500 0.500
N1 N 0.000 0.500 0.500
```

Values from the calculation:
Its raw formation energy is 1469 meV/atom. The value obtained for the total magnetization is 0.000 μB per atom.

9.
Compound: ZrHgBi
Source: Alexandria
Functional: PBE
Structure: optimized geometry

The structure in CIF format:
```
data_ZrHgBi
_chemical_formula_sum 'Zr4 Hg4 Bi4'
_space_group_name_H-M_alt 'C 1 m 1'
_space_group_IT_number 8
_cell_length_a 10.698
_cell_length_b 4.444
_cell_length_c 6.361
_cell_angle_alpha 90.00
_cell_angle_beta 102.73
_cell_angle_gamma 90.00
loop_
_space_group_symop_operation_xyz
'x,y,z'
'x,-y,z'
'x+1/2,y+1/2,z'
'x+1/2,-y+1/2,z'
loop_
_atom_site_label
_atom_site_type_symbol
_atom_site_fract_x
_atom_site_fract_y
_atom_site_fract_z
Zr1 Zr 0.000 0.000 0.000
Zr2 Zr 0.232 0.500 0.358
Hg1 Hg 0.061 0.000 0.504
Hg2 Hg 0.374 0.000 0.679
Bi1 Bi 0.180 0.500 0.853
Bi2 Bi 0.381 0.000 0.199
```

Values from the calculation:
The value obtained for the total magnetization is 0.000 μB per atom. The value obtained for the formation energy is -0.10 eV per atom.

10.
Compound: LaPd2Pt
Source: Alexandria
Functional: PBE
Structure: optimized geometry

The structure in CIF format:
```
data_LaPd2Pt
_chemical_formula_sum 'La4 Pd8 Pt4'
_space_group_name_H-M_alt 'I -4 2 d'
_space_group_IT_number 122
_space_group_name_Hall 'I -4 2bw'
_cell_length_a 4.191
_cell_length_b 4.191
_cell_length_c 19.180
_cell_angle_alpha 90.00
_cell_angle_beta 90.00
_cell_angle_gamma 90.00
loop_
_atom_site_label
_atom_site_type_symbol
_atom_site_fract_x
_atom_site_fract_y
_atom_site_fract_z
La1 La 0.000 0.000 0.000
Pd1 Pd 0.215 0.250 0.625
Pt1 Pt 0.000 0.000 0.500
```

Values from the calculation:
The value obtained for the total magnetization is 0.000 μB per atom. The value obtained for the formation energy is -0.60 eV per atom.

11.
Compound: Er2SCl
Source: Alexandria
Functional: PBE
Structure: optimized geometry

The structure in CIF format:
```
data_Er2SCl
_chemical_formula_sum 'Er6 S3 Cl3'
_space_group_name_H-M_alt 'R -3 m'
_space_group_IT_number 166
_space_group_name_Hall '-R 3 2"'
_cell_length_a 3.7262
_cell_length_b 3.7262
_cell_length_c 21.8026
_cell_angle_alpha 90.00
_cell_angle_beta 90.00
_cell_angle_gamma 120.00
loop_
_atom_site_label
_atom_site_type_symbol
_atom_site_fract_x
_atom_site_fract_y
_atom_site_fract_z
Er1 Er 0.0000 0.0000 0.2357
S1 S 0.0000 0.0000 0.5000
Cl1 Cl 0.0000 0.0000 0.0000
```

Values from the calculation:
Its raw formation energy is -1512 meV/atom. The value obtained for the total magnetization is 0.000 μB per atom.

12.
Compound: Li2CaUSe4
Source: Alexandria
Functional: PBE
Structure: optimized geometry

The structure in CIF format:
```
data_Li2CaUSe4
_chemical_formula_sum 'Li2 Ca1 U1 Se4'
_space_group_name_H-M_alt 'P 1 2/m 1'
_space_group_IT_number 10
_cell_length_a 6.870
_cell_length_b 4.117
_cell_length_c 7.126
_cell_angle_alpha 90.00
_cell_angle_beta 109.80
_cell_angle_gamma 90.00
loop_
_space_group_symop_operation_xyz
'x,y,z'
'-x,-y,-z'
'-x,y,-z'
'x,-y,z'
loop_
_atom_site_label
_atom_site_type_symbol
_atom_site_fract_x
_atom_site_fract_y
_atom_site_fract_z
Li1 Li 0.000 0.000 0.000
Li2 Li 0.000 0.500 0.500
Ca1 Ca 0.500 0.000 0.500
U1 U 0.500 0.500 0.000
Se1 Se 0.245 0.000 0.757
Se2 Se 0.247 0.500 0.236
```

Values from the calculation:
Its raw formation energy is -1404 meV/atom. The value obtained for the total magnetization is 0.250 μB per atom.

13.
Compound: PdPt2Pb3
Source: Alexandria
Functional: PBE
Structure: optimized geometry

The structure in CIF format:
```
data_PdPt2Pb3
_chemical_formula_sum 'Pd2 Pt4 Pb6'
_space_group_name_H-M_alt 'P 63/m c m'
_space_group_IT_number 193
_space_group_name_Hall '-P 6c 2'
_cell_length_a 7.5160
_cell_length_b 7.5160
_cell_length_c 5.5811
_cell_angle_alpha 90.00
_cell_angle_beta 90.00
_cell_angle_gamma 120.00
loop_
_atom_site_label
_atom_site_type_symbol
_atom_site_fract_x
_atom_site_fract_y
_atom_site_fract_z
Pd1 Pd 0.0000 0.0000 0.0000
Pt1 Pt 0.3333 0.6667 0.0000
Pb1 Pb 0.0000 0.3322 0.2500
```

Values from the calculation:
The value obtained for the total magnetization is 0.000 μB per atom. The value obtained for the formation energy is -0.25 eV per atom.

14.
Compound: Pr8Ga3RhI4
Source: Alexandria
Functional: PBE
Structure: optimized geometry

The structure in CIF format:
```
data_Pr8Ga3RhI4
_chemical_formula_sum 'Pr16 Ga6 Rh2 I8'
_space_group_name_H-M_alt 'C 1 2/m 1'
_space_group_IT_number 12
_cell_length_a 15.191
_cell_length_b 8.758
_cell_length_c 9.286
_cell_angle_alpha 90.00
_cell_angle_beta 123.08
_cell_angle_gamma 90.00
loop_
_space_group_symop_operation_xyz
'x,y,z'
'-x,-y,-z'
'-x,y,-z'
'x,-y,z'
'x+1/2,y+1/2,z'
'-x+1/2,-y+1/2,-z'
'-x+1/2,y+1/2,-z'
'x+1/2,-y+1/2,z'
loop_
_atom_site_label
_atom_site_type_symbol
_atom_site_fract_x
_atom_site_fract_y
_atom_site_fract_z
Pr1 Pr 0.014 0.241 0.302
Pr2 Pr 0.227 0.000 0.699
Pr3 Pr 0.239 0.500 0.717
Ga1 Ga 0.000 0.500 0.500
Ga2 Ga 0.250 0.250 0.500
Rh1 Rh 0.000 0.000 0.500
I1 I 0.000 0.000 0.000
I2 I 0.000 0.500 0.000
I3 I 0.250 0.250 0.000
```

Values from the calculation:
Its raw formation energy is -784 meV/atom. The value obtained for the total magnetization is 0.000 μB per atom.

15.
Compound: Pm4Y7Th
Source: Alexandria
Functional: PBE
Structure: optimized geometry

The structure in CIF format:
```
data_Pm4Y7Th
_chemical_formula_sum 'Pm4 Y7 Th1'
_space_group_name_H-M_alt 'P -1'
_space_group_IT_number 2
_cell_length_a 6.633
_cell_length_b 6.914
_cell_length_c 9.074
_cell_angle_alpha 84.08
_cell_angle_beta 77.49
_cell_angle_gamma 81.23
loop_
_space_group_symop_operation_xyz
'x,y,z'
'-x,-y,-z'
loop_
_atom_site_label
_atom_site_type_symbol
_atom_site_fract_x
_atom_site_fract_y
_atom_site_fract_z
Pm1 Pm 0.140 0.311 0.287
Pm2 Pm 0.338 0.880 0.691
Y1 Y 0.013 0.253 0.955
Y2 Y 0.177 0.801 0.356
Y3 Y 0.316 0.393 0.622
Y4 Y 0.500 0.000 0.000
Th1 Th 0.500 0.500 0.000
```

Values from the calculation:
The value obtained for the total magnetization is 0.000 μB per atom. The value obtained for the formation energy is 0.09 eV per atom.

16.
Compound: SBrO3
Source: Alexandria
Functional: PBE
Structure: optimized geometry

The structure in CIF format:
```
data_SBrO3
_chemical_formula_sum 'S2 Br2 O6'
_space_group_name_H-M_alt 'P 1 21/m 1'
_space_group_IT_number 11
_cell_length_a 5.526
_cell_length_b 4.702
_cell_length_c 7.900
_cell_angle_alpha 90.00
_cell_angle_beta 91.32
_cell_angle_gamma 90.00
loop_
_space_group_symop_operation_xyz
'x,y,z'
'-x,-y,-z'
'-x,y+1/2,-z'
'x,-y+1/2,z'
loop_
_atom_site_label
_atom_site_type_symbol
_atom_site_fract_x
_atom_site_fract_y
_atom_site_fract_z
S1 S 0.092 0.250 0.476
Br1 Br 0.454 0.750 0.039
O1 O 0.075 0.000 0.631
O2 O 0.330 0.250 0.411
```

Values from the calculation:
Its raw formation energy is -523 meV/atom. The value obtained for the total magnetization is 0.000 μB per atom.

17.
Compound: BeCo2SiBi
Source: Alexandria
Functional: PBE
Structure: optimized geometry

The structure in CIF format:
```
data_BeCo2SiBi
_chemical_formula_sum 'Be1 Co2 Si1 Bi1'
_space_group_name_H-M_alt 'P 4/m m m'
_space_group_IT_number 123
_space_group_name_Hall '-P 4 2'
_cell_length_a 4.176
_cell_length_b 4.176
_cell_length_c 4.724
_cell_angle_alpha 90.00
_cell_angle_beta 90.00
_cell_angle_gamma 90.00
loop_
_atom_site_label
_atom_site_type_symbol
_atom_site_fract_x
_atom_site_fract_y
_atom_site_fract_z
Be1 Be 0.000 0.000 0.000
Co1 Co 0.000 0.500 0.000
Si1 Si 0.500 0.500 0.500
Bi1 Bi 0.000 0.000 0.500
```

Values from the calculation:
Its raw formation energy is 924 meV/atom. The value obtained for the total magnetization is 0.490 μB per atom.

18.
Compound: As3Br
Source: Alexandria
Functional: PBE
Structure: optimized geometry

The structure in CIF format:
```
data_As3Br
_chemical_formula_sum 'As6 Br2'
_space_group_name_H-M_alt 'C 1 2/m 1'
_space_group_IT_number 12
_cell_length_a 8.472
_cell_length_b 3.702
_cell_length_c 7.469
_cell_angle_alpha 90.00
_cell_angle_beta 119.22
_cell_angle_gamma 90.00
loop_
_space_group_symop_operation_xyz
'x,y,z'
'-x,-y,-z'
'-x,y,-z'
'x,-y,z'
'x+1/2,y+1/2,z'
'-x+1/2,-y+1/2,-z'
'-x+1/2,y+1/2,-z'
'x+1/2,-y+1/2,z'
loop_
_atom_site_label
_atom_site_type_symbol
_atom_site_fract_x
_atom_site_fract_y
_atom_site_fract_z
As1 As 0.000 0.000 0.000
As2 As 0.228 0.000 0.844
Br1 Br 0.000 0.500 0.500
```

Values from the calculation:
Its raw formation energy is 165 meV/atom. The value obtained for the total magnetization is 0.000 μB per atom.

19.
Compound: SrCoI2
Source: Alexandria
Functional: PBE
Structure: optimized geometry

The structure in CIF format:
```
data_SrCoI2
_chemical_formula_sum 'Sr4 Co4 I8'
_space_group_name_H-M_alt 'I -4 2 d'
_space_group_IT_number 122
_space_group_name_Hall 'I -4 2bw'
_cell_length_a 6.730
_cell_length_b 6.730
_cell_length_c 12.598
_cell_angle_alpha 90.00
_cell_angle_beta 90.00
_cell_angle_gamma 90.00
loop_
_atom_site_label
_atom_site_type_symbol
_atom_site_fract_x
_atom_site_fract_y
_atom_site_fract_z
Sr1 Sr 0.000 0.000 0.000
Co1 Co 0.000 0.000 0.500
I1 I 0.167 0.250 0.625
```

Values from the calculation:
Its raw formation energy is -314 meV/atom. The value obtained for the total magnetization is 0.252 μB per atom.